First-principles (PBE) data for a relaxed CoTc2Os crystal, as listed in Alexandria via LeMat-Bulk.

Output
DOS(E_F) = 0.9084 states/eV/atom
E_form = 246 meV/atom
VASP energy = -9.5211 eV per atom

Cell lengths 3.1111, 3.1111, 5.6404 Å; angles 90.00, 90.00, 90.00 degrees
Sites, in units of the cell vectors:
1 Co 0.0000 0.0000 0.0000
2 Tc 0.0000 0.0000 0.5169
3 Tc 0.5000 0.5000 0.7975
4 Os 0.5000 0.5000 0.2422

First-principles (PBE) data for a relaxed Ti2Cd2H crystal, as listed in Alexandria via LeMat-Bulk.

Output
DOS(E_F) = 0.6961 states/eV/atom
VASP energy = -4.1692 eV per atom

Cell lengths 5.5767, 5.5767, 5.2138 Å; angles 90.00, 90.00, 90.00 degrees
Sites, in units of the cell vectors:
1 Ti 0.1613 0.3387 0.0000
2 Ti 0.3387 0.8387 0.0000
3 Ti 0.6613 0.1613 0.0000
4 Ti 0.8387 0.6613 0.0000
5 Cd 0.1726 0.6726 0.5000
6 Cd 0.3274 0.1726 0.5000
7 Cd 0.6726 0.8274 0.5000
8 Cd 0.8274 0.3274 0.5000
9 H 0.0000 0.0000 0.0000
10 H 0.5000 0.5000 0.0000